The following is a DFT calculation (PBE) of an optimized crystal structure of Cs2Ga2BiO6.

space-group type = R-3m (166)
E_form (uncorrected) = -1431.2 meV per atom

abc: 6.1639 6.1639 7.5514
angles: 65.91 65.91 60.00
Last column: nearest neighbours and their distance in Å.
Element x y z (fractional)
O: 0.7638 0.2613 0.2110  1 Ga 1.79
O: 0.7638 0.7638 0.2110  1 Ga 1.79
Cs: 0.7936 0.7936 0.6191  9 O 3.24-3.28
O: 0.2613 0.7638 0.2110  1 Ga 1.79
Cs: 0.2064 0.2064 0.3809  9 O 3.24-3.28
Ga: 0.3959 0.3959 0.8122  3 O 1.79
O: 0.7387 0.2362 0.7890  1 Ga 1.79
Ga: 0.6041 0.6041 0.1878  3 O 1.79
O: 0.2362 0.2362 0.7890  1 Ga 1.79
O: 0.2362 0.7387 0.7890  1 Ga 1.79
Bi: 0.0000 0.0000 0.0000  6 O 2.26